GdNbRe: relaxed, GGA-PBE.

Lattice parameters (Å, degrees): 6.452 6.452 6.452 90.00 90.00 90.00
Space group F-43m (No. 216)
Inequivalent atoms, fractional coordinates:
Gd (0.000, 0.000, 0.000) (multiplicity 4)
Nb (0.250, 0.250, 0.750) (multiplicity 4)
Re (0.250, 0.250, 0.250) (multiplicity 4)

Results
**V**: 268.6 Å³ per cell
**Calculated total energy**: -22.21 eV/f.u.
**Calculated density**: 10.792 g/cm3